Entry 1:
{"formula": "Dy2MgSc3", "functional": "PBE", "state": "optimized geometry", "cell": [[5.859, 2.253, -4.896], [-1.129, 7.866, -0.490], [-2.747, -1.553, 8.941]], "species": ["Sc", "Dy", "Sc", "Dy", "Mg", "Sc", "Sc", "Dy", "Sc", "Dy", "Sc", "Mg"], "fractional_positions": [[0.473, 0.402, 0.750], [0.590, 0.005, 0.250], [0.152, 0.723, 0.750], [0.745, 0.660, 0.750], [0.919, 0.669, 0.250], [0.848, 0.277, 0.250], [0.186, 0.936, 0.250], [0.255, 0.340, 0.250], [0.814, 0.064, 0.750], [0.410, 0.995, 0.750], [0.527, 0.598, 0.250], [0.081, 0.331, 0.750]], "spacegroup": "No. 63", "energy_ev_per_atom": -4.913, "n_ef_per_ev_atom": 1.557, "formation_energy_ev_per_atom": 0.05}

Entry 2:
{"formula": "Dy12Mg2Sc5", "functional": "PBE", "state": "optimized geometry", "cell": [[-6.627, 3.718, -4.055], [2.489, -8.163, -2.406], [-5.298, -3.010, 5.899]], "species": ["Mg", "Dy", "Dy", "Dy", "Mg", "Dy", "Sc", "Dy", "Dy", "Sc", "Dy", "Dy", "Sc", "Sc", "Dy", "Dy", "Dy", "Dy", "Sc"], "fractional_positions": [[0.233, 0.000, 0.000], [0.983, 0.364, 0.227], [0.554, 0.107, 0.260], [0.808, 0.219, 0.607], [0.767, 0.000, 0.000], [0.192, 0.781, 0.393], [0.761, 0.522, 0.439], [0.589, 0.781, 0.393], [0.017, 0.636, 0.773], [0.345, 0.691, 0.065], [0.380, 0.364, 0.227], [0.149, 0.299, 0.874], [0.239, 0.478, 0.561], [0.655, 0.309, 0.935], [0.620, 0.636, 0.773], [0.851, 0.701, 0.126], [0.446, 0.893, 0.740], [0.411, 0.219, 0.607], [0.000, 0.000, 0.500]], "spacegroup": "No. 12", "energy_ev_per_atom": -4.596, "n_ef_per_ev_atom": 1.455, "formation_energy_ev_per_atom": 0.14}

Entry 3:
{"formula": "Dy3MgSc3", "functional": "PBE", "state": "optimized geometry", "cell": [[-0.548, 4.548, 3.720], [-4.508, 0.173, 3.805], [5.712, -4.945, 11.568]], "species": ["Sc", "Dy", "Sc", "Sc", "Sc", "Sc", "Dy", "Dy", "Sc", "Mg", "Dy", "Dy", "Mg", "Dy"], "fractional_positions": [[0.865, 0.532, 0.406], [0.733, 0.403, 0.795], [0.803, 0.135, 0.594], [0.135, 0.468, 0.594], [0.468, 0.803, 0.594], [0.532, 0.197, 0.406], [0.597, 0.932, 0.205], [0.932, 0.267, 0.205], [0.197, 0.865, 0.406], [0.667, 0.667, 0.000], [0.267, 0.597, 0.205], [0.068, 0.733, 0.795], [0.333, 0.333, 0.000], [0.403, 0.068, 0.795]], "spacegroup": "No. 148", "energy_ev_per_atom": -4.810, "n_ef_per_ev_atom": 1.484, "formation_energy_ev_per_atom": 0.10}

Entry 4:
{"formula": "Dy6MgSc", "functional": "PBE", "state": "optimized geometry", "cell": [[9.211, 0.011, 0.099], [4.599, 7.982, 0.029], [4.567, 2.673, 3.333]], "species": ["Dy", "Sc", "Dy", "Dy", "Mg", "Dy", "Dy", "Dy"], "fractional_positions": [[0.045, 0.514, 0.687], [0.500, 0.500, 0.500], [0.514, 0.754, 0.687], [0.486, 0.246, 0.313], [0.000, 0.000, 0.000], [0.246, 0.955, 0.313], [0.754, 0.045, 0.687], [0.955, 0.486, 0.313]], "spacegroup": "No. 148", "energy_ev_per_atom": -4.301, "n_ef_per_ev_atom": 1.828, "formation_energy_ev_per_atom": 0.14}

Entry 5:
{"formula": "Dy8MgSc6", "functional": "PBE", "state": "optimized geometry", "cell": [[9.320, 0.000, 0.000], [4.660, 8.072, 0.000], [4.660, 2.691, 5.737]], "species": ["Dy", "Dy", "Sc", "Dy", "Dy", "Sc", "Sc", "Mg", "Dy", "Sc", "Dy", "Sc", "Dy", "Dy", "Sc"], "fractional_positions": [[0.633, 0.769, 0.534], [0.231, 0.935, 0.466], [0.288, 0.617, 0.046], [0.769, 0.065, 0.534], [0.406, 0.406, 0.782], [0.617, 0.049, 0.046], [0.049, 0.288, 0.046], [0.000, 0.000, 0.000], [0.065, 0.633, 0.534], [0.383, 0.951, 0.954], [0.935, 0.367, 0.466], [0.951, 0.712, 0.954], [0.594, 0.594, 0.218], [0.367, 0.231, 0.466], [0.712, 0.383, 0.954]], "spacegroup": "No. 148", "energy_ev_per_atom": -4.903, "n_ef_per_ev_atom": 1.650, "formation_energy_ev_per_atom": 0.19}

Entry 6:
{"formula": "Dy2Mg5Sc", "functional": "PBE", "state": "optimized geometry", "cell": [[-3.020, 3.862, -1.425], [-4.014, -2.372, 2.080], [4.889, 2.794, 6.355]], "species": ["Mg", "Mg", "Sc", "Dy", "Mg", "Dy", "Mg", "Mg"], "fractional_positions": [[0.886, 0.386, 0.772], [0.614, 0.114, 0.228], [0.000, 0.000, 0.000], [0.745, 0.745, 0.490], [0.386, 0.886, 0.772], [0.255, 0.255, 0.510], [0.500, 0.500, 0.000], [0.114, 0.614, 0.228]], "spacegroup": "No. 139", "energy_ev_per_atom": -2.987, "n_ef_per_ev_atom": 0.852, "formation_energy_ev_per_atom": -0.05}

Entry 7:
{"formula": "DyMg2Sc2", "functional": "PBE", "state": "optimized geometry", "cell": [[-1.328, -0.808, 3.194], [3.376, -4.001, 0.392], [9.646, 8.551, 4.201]], "species": ["Sc", "Sc", "Dy", "Mg", "Sc", "Sc", "Mg", "Mg", "Dy", "Mg"], "fractional_positions": [[0.955, 0.250, 0.911], [0.763, 0.250, 0.525], [0.153, 0.250, 0.308], [0.449, 0.750, 0.899], [0.237, 0.750, 0.475], [0.045, 0.750, 0.089], [0.361, 0.250, 0.720], [0.639, 0.750, 0.280], [0.847, 0.750, 0.692], [0.551, 0.250, 0.101]], "spacegroup": "No. 11", "energy_ev_per_atom": -4.123, "n_ef_per_ev_atom": 1.380, "formation_energy_ev_per_atom": -0.03}

Entry 8:
{"formula": "Dy3Mg4Sc", "functional": "PBE", "state": "optimized geometry", "cell": [[3.726, 0.000, 0.000], [0.000, 3.726, 0.000], [0.000, 0.000, 15.089]], "species": ["Mg", "Dy", "Sc", "Dy", "Dy", "Mg", "Mg", "Mg"], "fractional_positions": [[0.000, 0.000, 0.628], [0.500, 0.500, 0.500], [0.500, 0.500, 0.000], [0.500, 0.500, 0.757], [0.500, 0.500, 0.243], [0.000, 0.000, 0.372], [0.000, 0.000, 0.887], [0.000, 0.000, 0.113]], "spacegroup": "No. 123", "energy_ev_per_atom": -3.380, "n_ef_per_ev_atom": 1.373, "formation_energy_ev_per_atom": -0.07}